No. 1
Material: RbBaNpS4
Method: DFT, PBE-GGA
State: relaxed

```
RbBaNpS4
1.0
5.1935 0.0000 0.0000
0.0000 5.1935 0.0000
0.0000 0.0000 16.0271
Rb Ba Np S
2 2 2 8
direct
0.0000 0.0000 0.0000
0.5000 0.5000 0.5000
0.0000 0.0000 0.7183
0.5000 0.5000 0.2183
0.0000 0.0000 0.3594
0.5000 0.5000 0.8594
0.0000 0.0000 0.2000
0.0000 0.0000 0.5168
0.0000 0.5000 0.3509
0.0000 0.5000 0.8509
0.5000 0.0000 0.3509
0.5000 0.0000 0.8509
0.5000 0.5000 0.0168
0.5000 0.5000 0.7000
```

Properties
The total energy comes out at -6.094 eV per atom. The value obtained for the formation energy without anion corrections is -1.4743 eV per atom. Its symmetry is No. 107.

No. 2
Material: Rb3Ba2NpSe6
Method: DFT, PBE-GGA
State: relaxed

```
Rb3Ba2NpSe6
1.0
4.0039 -6.9231 0.0000
4.0039 6.9231 0.0000
-2.7069 0.0000 7.9432
Rb Ba Np Se
3 2 1 6
direct
0.0000 0.0000 0.0000
0.3299 0.6701 0.0000
0.6701 0.3299 0.0000
0.1665 0.8335 0.5000
0.8335 0.1665 0.5000
0.5000 0.5000 0.5000
0.1435 0.4319 0.2963
0.2819 0.2819 0.7019
0.4319 0.1435 0.2963
0.5681 0.8565 0.7037
0.7181 0.7181 0.2981
0.8565 0.5681 0.7037
```

Properties
The total energy comes out at -4.840 eV per atom. The value obtained for the formation energy without anion corrections is -1.4575 eV per atom. Its symmetry is No. 12.

No. 3
Material: Rb2BaNpSe4
Method: DFT, PBE-GGA
State: relaxed

```
Rb2BaNpSe4
1.0
7.9627 0.0000 0.0000
0.0000 4.4860 0.0000
-2.5876 0.0000 7.9643
Rb Ba Np Se
2 1 1 4
direct
0.0000 0.0000 0.0000
0.5000 0.5000 0.0000
0.0000 0.5000 0.5000
0.5000 0.0000 0.5000
0.2767 0.0000 0.7038
0.2978 0.5000 0.3058
0.7022 0.5000 0.6942
0.7233 0.0000 0.2962
```

Properties
The total energy comes out at -5.238 eV per atom. The value obtained for the formation energy without anion corrections is -1.3963 eV per atom. Its symmetry is No. 10.

No. 4
Material: Rb2BaNp3Se8
Method: DFT, PBE-GGA
State: relaxed

```
Rb2BaNp3Se8
1.0
4.3183 2.4932 8.0195
-4.3183 2.4932 8.0195
0.0000 -4.9863 8.0195
Rb Ba Np Se
2 1 3 8
direct
0.0000 0.0000 0.0000
0.3650 0.3650 0.3650
0.6247 0.6247 0.6247
0.4958 0.9993 0.9993
0.9993 0.4958 0.9993
0.9993 0.9993 0.4958
0.1967 0.7436 0.7436
0.2268 0.2268 0.2268
0.2557 0.2557 0.8039
0.2557 0.8039 0.2557
0.7436 0.1967 0.7436
0.7436 0.7436 0.1967
0.7662 0.7662 0.7662
0.8039 0.2557 0.2557
```

Properties
The total energy comes out at -6.249 eV per atom. The value obtained for the formation energy without anion corrections is -1.2096 eV per atom. Its symmetry is No. 160.

No. 5
Material: Rb3Ba2NpTe6
Method: DFT, PBE-GGA
State: relaxed

```
Rb3Ba2NpTe6
1.0
4.2531 -7.3551 0.0000
4.2531 7.3551 0.0000
-2.8740 0.0000 8.4833
Rb Ba Np Te
3 2 1 6
direct
0.0000 0.0000 0.0000
0.3266 0.6734 0.0000
0.6734 0.3266 0.0000
0.1661 0.8339 0.5000
0.8339 0.1661 0.5000
0.5000 0.5000 0.5000
0.1371 0.4305 0.2917
0.2798 0.2798 0.7079
0.4305 0.1371 0.2917
0.5695 0.8629 0.7083
0.7202 0.7202 0.2921
0.8629 0.5695 0.7083
```

Properties
The total energy comes out at -4.378 eV per atom. The value obtained for the formation energy without anion corrections is -1.1666 eV per atom. Its symmetry is No. 12.

No. 6
Material: Rb3BaNp2Te6
Method: DFT, PBE-GGA
State: relaxed

```
Rb3BaNp2Te6
1.0
10.9022 -2.3541 0.0000
10.9022 2.3541 0.0000
-3.1794 0.0000 9.7026
Rb Ba Np Te
3 1 2 6
direct
0.0000 0.0000 0.0000
0.3399 0.3399 0.6679
0.6601 0.6601 0.3321
0.0000 0.0000 0.5000
0.3307 0.3307 0.1628
0.6693 0.6693 0.8372
0.1691 0.1691 0.6324
0.1796 0.1796 0.0498
0.4780 0.4780 0.2437
0.5220 0.5220 0.7563
0.8204 0.8204 0.9502
0.8309 0.8309 0.3676
```

Properties
The total energy comes out at -5.168 eV per atom. The value obtained for the formation energy without anion corrections is -1.0381 eV per atom. Its symmetry is No. 12.

No. 7
Material: Rb2BaNpTe4
Method: DFT, PBE-GGA
State: relaxed

```
Rb2BaNpTe4
1.0
8.4564 0.0000 0.0000
0.0000 4.7861 0.0000
-2.7276 0.0000 8.5018
Rb Ba Np Te
2 1 1 4
direct
0.0000 0.0000 0.0000
0.5000 0.5000 0.0000
0.0000 0.5000 0.5000
0.5000 0.0000 0.5000
0.2736 0.0000 0.7096
0.2956 0.5000 0.3022
0.7044 0.5000 0.6978
0.7264 0.0000 0.2904
```

Properties
The total energy comes out at -4.765 eV per atom. The value obtained for the formation energy without anion corrections is -1.0942 eV per atom. Its symmetry is No. 10.

No. 8
Material: Ba2NpRhS6
Method: DFT, PBE-GGA
State: relaxed

```
Ba2NpRhS6
1.0
3.4707 2.0038 11.8198
-3.4707 2.0038 11.8198
0.0000 -4.0077 11.8198
Ba Np Rh S
4 2 2 12
direct
0.1287 0.1287 0.1287
0.2964 0.2964 0.2964
0.7036 0.7036 0.7036
0.8713 0.8713 0.8713
0.4135 0.4135 0.4135
0.5865 0.5865 0.5865
0.0000 0.0000 0.0000
0.5000 0.5000 0.5000
0.1312 0.6256 0.6256
0.1996 0.1996 0.7197
0.1996 0.7197 0.1996
0.2803 0.8004 0.8004
0.3744 0.3744 0.8688
0.3744 0.8688 0.3744
0.6256 0.1312 0.6256
0.6256 0.6256 0.1312
0.7197 0.1996 0.1996
0.8004 0.2803 0.8004
0.8004 0.8004 0.2803
0.8688 0.3744 0.3744
```

Properties
The total energy comes out at -6.245 eV per atom. The value obtained for the formation energy without anion corrections is -1.3548 eV per atom. Its symmetry is No. 166.

No. 9
Material: Ba2NpS6
Method: DFT, PBE-GGA
State: relaxed

```
Ba2NpS6
1.0
0.0000 4.9204 4.9204
4.9204 0.0000 4.9204
4.9204 4.9204 0.0000
Ba Np S
2 1 6
direct
0.2500 0.2500 0.2500
0.7500 0.7500 0.7500
0.0000 0.0000 0.0000
0.2517 0.2517 0.7483
0.2517 0.7483 0.2517
0.2517 0.7483 0.7483
0.7483 0.2517 0.2517
0.7483 0.2517 0.7483
0.7483 0.7483 0.2517
```

Properties
For the energy above the lowest structure with this stoichiometry, the calculation gives 27 meV per atom. The total energy comes out at -5.861 eV per atom. The value obtained for the formation energy without anion corrections is -1.2444 eV per atom. Its symmetry is No. 225.

No. 10
Material: BaNpS3
Method: DFT, PBE-GGA
State: relaxed

```
BaNpS3
1.0
4.2678 0.0000 0.0000
0.0000 6.6820 0.0000
0.0000 0.0000 9.1764
Ba Np S
2 2 6
direct
0.2500 0.2500 0.1379
0.7500 0.7500 0.8621
0.2500 0.7500 0.3987
0.7500 0.2500 0.6013
0.2500 0.5057 0.6419
0.2500 0.7500 0.1060
0.2500 0.9943 0.6419
0.7500 0.0057 0.3581
0.7500 0.2500 0.8940
0.7500 0.4943 0.3581
```

Properties
The total energy comes out at -7.067 eV per atom. The value obtained for the formation energy without anion corrections is -1.6175 eV per atom. Its symmetry is No. 59.

No. 11
Material: BaNp6S8
Method: DFT, PBE-GGA
State: relaxed

```
BaNp6S8
1.0
5.4798 3.1638 3.8524
-5.4798 3.1638 3.8524
0.0000 -6.3275 3.8524
Ba Np S
1 6 8
direct
0.0000 0.0000 0.0000
0.2378 0.4966 0.5847
0.4153 0.7622 0.5035
0.4965 0.5847 0.2378
0.5035 0.4153 0.7622
0.5847 0.2378 0.4965
0.7622 0.5035 0.4153
0.0540 0.7127 0.3777
0.2834 0.2834 0.2834
0.2873 0.6223 0.9460
0.3777 0.0540 0.7127
0.6223 0.9460 0.2873
0.7127 0.3777 0.0540
0.7166 0.7166 0.7166
0.9460 0.2873 0.6223
```

Properties
The total energy comes out at -8.565 eV per atom. The value obtained for the formation energy without anion corrections is -1.0591 eV per atom. Its symmetry is No. 148.

No. 12
Material: Ba2NpS5
Method: DFT, PBE-GGA
State: relaxed

```
Ba2NpS5
1.0
0.0000 5.0293 7.8701
2.8005 0.0000 7.8701
2.8005 5.0293 0.0000
Ba Np S
2 1 5
direct
0.1821 0.1821 0.8179
0.8179 0.8179 0.1821
0.5000 0.5000 0.5000
0.0000 0.0000 0.0000
0.2155 0.5347 0.4653
0.4653 0.7845 0.2155
0.5347 0.2155 0.7845
0.7845 0.4653 0.5347
```

Properties
For the energy above the lowest structure with this stoichiometry, the calculation gives 169 meV per atom. The total energy comes out at -5.907 eV per atom. The value obtained for the formation energy without anion corrections is -1.2293 eV per atom. Its symmetry is No. 69.

No. 13
Material: BaNpS4
Method: DFT, PBE-GGA
State: relaxed

```
BaNpS4
1.0
5.3290 0.0000 0.0000
0.0000 7.1538 0.0000
0.0000 0.0000 8.0330
Ba Np S
2 2 8
direct
0.0000 0.0000 0.0000
0.5000 0.5000 0.0000
0.0000 0.0000 0.5000
0.5000 0.5000 0.5000
0.2500 0.2500 0.2853
0.2500 0.2500 0.7147
0.2500 0.7500 0.2853
0.2500 0.7500 0.7147
0.7500 0.2500 0.2853
0.7500 0.2500 0.7147
0.7500 0.7500 0.2853
0.7500 0.7500 0.7147
```

Properties
For the energy above the lowest structure with this stoichiometry, the calculation gives 17 meV per atom. The total energy comes out at -6.391 eV per atom. The value obtained for the formation energy without anion corrections is -1.1617 eV per atom. Its symmetry is No. 65.

No. 14
Material: Ba2Np2S5
Method: DFT, PBE-GGA
State: relaxed

```
Ba2Np2S5
1.0
7.2209 -2.6524 0.0000
7.2209 2.6524 0.0000
-4.7290 0.0000 6.8305
Ba Np S
2 2 5
direct
0.1223 0.1223 0.2758
0.8777 0.8777 0.7242
0.3858 0.3858 0.1798
0.6142 0.6142 0.8202
0.1501 0.1501 0.9113
0.3818 0.3818 0.5054
0.5000 0.5000 0.0000
0.6182 0.6182 0.4946
0.8499 0.8499 0.0887
```

Properties
The total energy comes out at -7.235 eV per atom. The value obtained for the formation energy without anion corrections is -1.6390 eV per atom. Its symmetry is No. 12.

No. 15
Material: BaNpS4
Method: DFT, PBE-GGA
State: relaxed

```
BaNpS4
1.0
4.5483 0.0000 0.0000
0.0000 4.5483 0.0000
0.0000 0.0000 7.4928
Ba Np S
1 1 4
direct
0.0000 0.0000 0.0000
0.5000 0.5000 0.5000
0.0000 0.5000 0.2957
0.0000 0.5000 0.7043
0.5000 0.0000 0.2957
0.5000 0.0000 0.7043
```

Properties
For the energy above the lowest structure with this stoichiometry, the calculation gives 0 meV per atom. The total energy comes out at -6.407 eV per atom. The value obtained for the formation energy without anion corrections is -1.1786 eV per atom. Its symmetry is No. 123.

No. 16
Material: Ba2NpS6
Method: DFT, PBE-GGA
State: relaxed

```
Ba2NpS6
1.0
7.5555 0.0000 0.0000
0.0000 7.7525 0.0000
-3.9685 0.0000 9.1331
Ba Np S
4 2 12
direct
0.1694 0.0194 0.2828
0.1694 0.4806 0.7828
0.8306 0.5194 0.2172
0.8306 0.9806 0.7172
0.5000 0.0000 0.0000
0.5000 0.5000 0.5000
0.1924 0.1532 0.9863
0.1924 0.3468 0.4863
0.2710 0.6209 0.2317
0.2710 0.8791 0.7317
0.4006 0.6882 0.0864
0.4006 0.8118 0.5864
0.5994 0.1882 0.4136
0.5994 0.3118 0.9136
0.7290 0.1209 0.2683
0.7290 0.3791 0.7683
0.8076 0.6532 0.5137
0.8076 0.8468 0.0137
```

Properties
For the energy above the lowest structure with this stoichiometry, the calculation gives 0 meV per atom. The total energy comes out at -5.888 eV per atom. The value obtained for the formation energy without anion corrections is -1.2714 eV per atom. Its symmetry is No. 14.

No. 17
Material: Ba2NpS5
Method: DFT, PBE-GGA
State: relaxed

```
Ba2NpS5
1.0
7.3588 0.0000 0.0000
0.0000 7.3588 0.0000
0.0000 0.0000 8.6760
Ba Np S
4 2 10
direct
0.0000 0.5000 0.0000
0.0000 0.5000 0.5000
0.5000 0.0000 0.0000
0.5000 0.0000 0.5000
0.0000 0.0000 0.2551
0.5000 0.5000 0.7551
0.0000 0.0000 0.5306
0.2406 0.2406 0.2501
0.2406 0.7594 0.2501
0.2594 0.2594 0.7501
0.2594 0.7406 0.7501
0.5000 0.5000 0.0306
0.7406 0.2594 0.7501
0.7406 0.7406 0.7501
0.7594 0.2406 0.2501
0.7594 0.7594 0.2501
```

Properties
For the energy above the lowest structure with this stoichiometry, the calculation gives 0 meV per atom. The total energy comes out at -6.076 eV per atom. The value obtained for the formation energy without anion corrections is -1.3985 eV per atom. Its symmetry is No. 107.

No. 18
Material: Ba4Np3S10
Method: DFT, PBE-GGA
State: relaxed

```
Ba4Np3S10
1.0
-2.6073 2.6073 18.2654
2.6073 -2.6073 18.2654
2.6073 2.6073 -18.2654
Ba Np S
4 3 10
direct
0.0690 0.0690 0.0000
0.2003 0.2003 0.0000
0.7997 0.7997 0.0000
0.9310 0.9310 0.0000
0.3566 0.3566 0.0000
0.5000 0.5000 0.0000
0.6434 0.6434 0.0000
0.0000 0.5000 0.5000
0.1407 0.6407 0.5000
0.2850 0.2850 0.0000
0.3593 0.8593 0.5000
0.4287 0.4287 0.0000
0.5000 0.0000 0.5000
0.5713 0.5713 0.0000
0.6407 0.1407 0.5000
0.7150 0.7150 0.0000
0.8593 0.3593 0.5000
```

Properties
The total energy comes out at -6.837 eV per atom. The value obtained for the formation energy without anion corrections is -1.6734 eV per atom. Its symmetry is No. 139.

No. 19
Material: Ba5NpS8
Method: DFT, PBE-GGA
State: relaxed

```
Ba5NpS8
1.0
-4.5984 4.5984 4.6643
4.5984 -4.5984 4.6643
4.5984 4.5984 -4.6643
Ba Np S
5 1 8
direct
0.0000 0.0000 0.0000
0.1167 0.4960 0.8686
0.5040 0.3726 0.6207
0.6274 0.2481 0.1314
0.7519 0.8833 0.3793
0.2500 0.7500 0.5000
0.0386 0.2985 0.4070
0.2285 0.0706 0.7130
0.3576 0.5156 0.2870
0.3684 0.9614 0.2600
0.4844 0.7715 0.8420
0.7015 0.1085 0.7400
0.8915 0.6316 0.5930
0.9294 0.6424 0.1580
```

Properties
The total energy comes out at -5.617 eV per atom. The value obtained for the formation energy without anion corrections is -1.6471 eV per atom. Its symmetry is No. 82.

No. 20
Material: Ba3Np4S12
Method: DFT, PBE-GGA
State: relaxed

```
Ba3Np4S12
1.0
-5.1687 5.1687 5.1687
5.1687 -5.1687 5.1687
5.1687 5.1687 -5.1687
Ba Np S
3 4 12
direct
0.0000 0.5000 0.5000
0.5000 0.0000 0.5000
0.5000 0.5000 0.0000
0.0000 0.0000 0.5000
0.0000 0.5000 0.0000
0.5000 0.0000 0.0000
0.5000 0.5000 0.5000
0.0511 0.2830 0.7682
0.2318 0.5148 0.2830
0.2318 0.9489 0.7170
0.2830 0.2318 0.5148
0.2830 0.7682 0.0511
0.4852 0.7170 0.7682
0.5148 0.2830 0.2318
0.7170 0.2318 0.9489
0.7170 0.7682 0.4852
0.7682 0.0511 0.2830
0.7682 0.4852 0.7170
0.9489 0.7170 0.2318
```

Properties
The total energy comes out at -7.117 eV per atom. The value obtained for the formation energy without anion corrections is -1.4826 eV per atom. Its symmetry is No. 204.